Entry 1:
Cs2BaCeBr8 | PBE | optimized geometry

Results
ΔE_f (raw) ... -1.78 eV per atom
Total magnetization ... 0.0 μB per cell
Crystal system ... triclinic
Calculated volume ... 571 Å³/cell

a b c (Å): 6.886 8.440 9.884
angles (deg): 89.98 90.00 96.19
Fractional positions:
Ce: 0.000 0.000 0.000
Cs: 0.499 0.500 0.756
Br: 0.642 0.818 0.999
Cs: 0.501 0.500 0.244
Br: 0.395 0.223 0.500
Br: 0.358 0.182 0.001
Ba: 0.000 0.000 0.500
Br: 0.112 0.801 0.788
Br: 0.605 0.777 0.500
Br: 0.888 0.199 0.212
Br: 0.889 0.199 0.788
Br: 0.111 0.801 0.212

***

Entry 2:
BaCeGa2Br8 | PBE | optimized geometry

Results
ΔE_f (raw) ... -1.37 eV per atom
Total magnetization ... 0.1 μB per cell
Crystal system ... monoclinic
Calculated volume ... 476 Å³/cell

a b c (Å): 7.257 7.037 9.326
angles (deg): 90.01 90.00 90.81
Site moments in Bohr magnetons follow the coordinates.
Fractional positions:
Br: 0.155 0.772 0.220  -0.01
Ga: 0.500 0.500 0.262  0.00
Br: 0.691 0.766 0.000  -0.01
Br: 0.845 0.228 0.780  -0.01
Br: 0.155 0.772 0.780  -0.01
Ga: 0.500 0.500 0.738  0.00
Br: 0.648 0.720 0.500  0.00
Br: 0.352 0.280 0.500  0.00
Br: 0.309 0.234 0.000  -0.01
Ba: 0.000 0.000 0.500  0.00
Ce: 0.000 0.000 0.000  0.18
Br: 0.845 0.228 0.220  -0.01

***

Entry 3:
BaCeInBr6 | PBE | optimized geometry

Results
ΔE_f (raw) ... -1.67 eV per atom
Total magnetization ... 2.0 μB per cell
Crystal system ... trigonal
Calculated volume ... 774 Å³/cell

a b c (Å): 8.093 8.093 13.641
angles (deg): 90.00 90.00 120.00
Site moments in Bohr magnetons follow the coordinates.
Fractional positions:
Ba: 0.333 0.667 0.250  0.00
Br: 0.030 0.371 0.629  -0.01
Br: 0.341 0.970 0.629  -0.01
Br: 0.371 0.341 0.371  -0.01
Br: 0.030 0.659 0.871  -0.01
Br: 0.629 0.659 0.629  -0.01
Br: 0.629 0.970 0.871  -0.01
Br: 0.659 0.030 0.371  -0.01
Ba: 0.667 0.333 0.750  0.00
Br: 0.371 0.030 0.129  -0.01
Br: 0.659 0.629 0.129  -0.01
Br: 0.341 0.371 0.871  -0.01
Br: 0.970 0.341 0.129  -0.01
In: 0.000 0.000 0.500  0.00
In: 0.000 0.000 0.000  0.00
Ce: 0.333 0.667 0.750  0.98
Br: 0.970 0.629 0.371  -0.01
Ce: 0.667 0.333 0.250  0.98

***

Entry 4:
KBaCeBr6 | PBE | optimized geometry

Results
ΔE_f (raw) ... -1.91 eV per atom
Total magnetization ... 2.0 μB per cell
Crystal system ... trigonal
Calculated volume ... 760 Å³/cell

a b c (Å): 8.016 8.016 13.666
angles (deg): 90.00 90.00 120.00
Site moments in Bohr magnetons follow the coordinates.
Fractional positions:
Br: 0.036 0.362 0.628  -0.01
Br: 0.638 0.964 0.872  -0.01
Ce: 0.667 0.333 0.250  0.98
Br: 0.036 0.674 0.872  -0.01
Br: 0.326 0.362 0.872  -0.01
K: 0.333 0.667 0.250  0.00
Br: 0.638 0.674 0.628  -0.01
Ce: 0.333 0.667 0.750  0.98
Br: 0.964 0.638 0.372  -0.01
Ba: 0.000 0.000 0.000  0.00
Br: 0.362 0.326 0.372  -0.01
Br: 0.674 0.638 0.128  -0.01
Br: 0.362 0.036 0.128  -0.01
Br: 0.674 0.036 0.372  -0.01
Ba: 0.000 0.000 0.500  0.00
Br: 0.326 0.964 0.628  -0.01
K: 0.667 0.333 0.750  0.00
Br: 0.964 0.326 0.128  -0.01

***

Entry 5:
BaLiCeBr6 | PBE | optimized geometry

Results
ΔE_f (raw) ... -1.86 eV per atom
Total magnetization ... 2.0 μB per cell
Crystal system ... trigonal
Calculated volume ... 663 Å³/cell

a b c (Å): 7.351 7.351 14.173
angles (deg): 90.00 90.00 120.00
Site moments in Bohr magnetons follow the coordinates.
Fractional positions:
Ce: 0.333 0.667 0.750  0.98
Br: 0.633 0.646 0.135  -0.01
Br: 0.367 0.354 0.865  -0.01
Br: 0.646 0.633 0.635  -0.01
Br: 0.646 0.013 0.865  -0.01
Br: 0.013 0.367 0.135  -0.01
Ba: 0.000 0.000 0.500  0.00
Br: 0.013 0.646 0.365  -0.01
Br: 0.367 0.013 0.635  -0.01
Br: 0.354 0.367 0.365  -0.01
Br: 0.354 0.987 0.135  -0.01
Li: 0.667 0.333 0.750  0.00
Br: 0.633 0.987 0.365  -0.01
Li: 0.333 0.667 0.250  0.00
Ce: 0.667 0.333 0.250  0.98
Br: 0.987 0.354 0.635  -0.01
Ba: 0.000 0.000 0.000  0.00
Br: 0.987 0.633 0.865  -0.01

***

Entry 6:
BaLiCe2Br8 | PBE | optimized geometry

Results
ΔE_f (raw) ... -1.77 eV per atom
Total magnetization ... 3.0 μB per cell
Crystal system ... triclinic
Calculated volume ... 448 Å³/cell

a b c (Å): 7.231 6.979 8.885
angles (deg): 90.06 89.99 87.41
Site moments in Bohr magnetons follow the coordinates.
Fractional positions:
Br: 0.833 0.234 0.219  0.00
Li: 0.000 0.000 0.000  0.00
Br: 0.321 0.255 0.000  -0.01
Br: 0.679 0.745 0.000  -0.01
Br: 0.354 0.283 0.500  -0.01
Ba: 0.000 0.000 0.500  0.00
Br: 0.167 0.767 0.218  -0.01
Br: 0.167 0.766 0.781  0.00
Ce: 0.501 0.500 0.777  1.31
Br: 0.646 0.717 0.500  -0.01
Ce: 0.499 0.500 0.223  1.31
Br: 0.833 0.233 0.782  -0.01

***

Entry 7:
Ba2CeBr2N2 | PBE | optimized geometry

Results
ΔE_f (raw) ... -1.57 eV per atom
Total magnetization ... 0.0 μB per cell
Crystal system ... tetragonal
Calculated volume ... 184 Å³/cell

a b c (Å): 4.623 4.623 9.196
angles (deg): 104.56 104.56 90.00
Fractional positions:
Ba: 0.607 0.607 0.214
N: 0.000 0.500 0.000
Br: 0.181 0.181 0.361
Br: 0.819 0.819 0.639
N: 0.500 0.000 0.000
Ce: 0.000 0.000 0.000
Ba: 0.393 0.393 0.786

***

Entry 8:
BaNaCeBr6 | PBE | optimized geometry

Results
ΔE_f (raw) ... -1.87 eV per atom
Total magnetization ... 2.0 μB per cell
Crystal system ... trigonal
Calculated volume ... 705 Å³/cell

a b c (Å): 7.598 7.598 14.095
angles (deg): 90.00 90.00 120.00
Site moments in Bohr magnetons follow the coordinates.
Fractional positions:
Br: 0.008 0.650 0.868  -0.01
Ba: 0.000 0.000 0.500  0.00
Ba: 0.000 0.000 0.000  0.00
Br: 0.642 0.650 0.632  -0.01
Ce: 0.333 0.667 0.750  0.98
Br: 0.992 0.350 0.132  -0.01
Br: 0.650 0.008 0.368  -0.01
Br: 0.642 0.992 0.868  -0.01
Br: 0.992 0.642 0.368  -0.01
Br: 0.358 0.008 0.132  -0.01
Br: 0.008 0.358 0.632  -0.01
Br: 0.358 0.350 0.368  -0.01
Na: 0.667 0.333 0.750  0.00
Br: 0.350 0.358 0.868  -0.01
Na: 0.333 0.667 0.250  0.00
Br: 0.650 0.642 0.132  -0.01
Ce: 0.667 0.333 0.250  0.98
Br: 0.350 0.992 0.632  -0.01

***

Entry 9:
RbBa2CeBr8 | PBE | optimized geometry

Results
ΔE_f (raw) ... -1.97 eV per atom
Total magnetization ... 1.0 μB per cell
Crystal system ... monoclinic
Calculated volume ... 537 Å³/cell

a b c (Å): 7.413 7.237 10.002
angles (deg): 90.00 90.00 90.23
Site moments in Bohr magnetons follow the coordinates.
Fractional positions:
Br: 0.151 0.771 0.211  -0.01
Ce: 0.000 0.000 0.000  0.99
Br: 0.849 0.229 0.211  -0.01
Ba: 0.500 0.500 0.750  0.00
Br: 0.849 0.229 0.789  -0.01
Br: 0.151 0.771 0.789  -0.01
Br: 0.368 0.265 0.500  0.00
Br: 0.324 0.248 0.000  0.00
Br: 0.632 0.735 0.500  0.00
Rb: 0.000 0.000 0.500  0.00
Br: 0.676 0.752 0.000  0.00
Ba: 0.500 0.500 0.250  0.00

***

Entry 10:
Rb2BaCeBr8 | PBE | optimized geometry

Results
ΔE_f (raw) ... -1.77 eV per atom
Total magnetization ... 0.1 μB per cell
Crystal system ... monoclinic
Calculated volume ... 557 Å³/cell

a b c (Å): 7.269 7.876 9.740
angles (deg): 90.00 90.00 93.20
Site moments in Bohr magnetons follow the coordinates.
Fractional positions:
Br: 0.866 0.204 0.212  0.00
Br: 0.866 0.204 0.788  0.00
Rb: 0.500 0.500 0.249  0.00
Ce: 0.000 0.000 0.000  0.10
Rb: 0.500 0.500 0.751  0.00
Br: 0.347 0.249 0.500  0.00
Br: 0.653 0.751 0.500  0.00
Ba: 0.000 0.000 0.500  0.00
Br: 0.134 0.796 0.212  0.00
Br: 0.324 0.203 0.000  0.00
Br: 0.676 0.797 0.000  0.00
Br: 0.134 0.796 0.788  0.00

***

Entry 11:
BaCeTl2Br8 | PBE | optimized geometry

Results
ΔE_f (raw) ... -1.48 eV per atom
Total magnetization ... 0.0 μB per cell
Crystal system ... triclinic
Calculated volume ... 523 Å³/cell

a b c (Å): 7.440 7.411 9.494
angles (deg): 89.95 90.03 91.81
Fractional positions:
Tl: 0.500 0.500 0.749
Br: 0.134 0.778 0.217
Br: 0.683 0.797 0.000
Tl: 0.500 0.500 0.251
Br: 0.317 0.203 0.000
Br: 0.865 0.222 0.217
Br: 0.866 0.222 0.783
Br: 0.653 0.738 0.500
Br: 0.347 0.262 0.500
Ce: 0.000 0.000 0.000
Br: 0.135 0.778 0.783
Ba: 0.000 0.000 0.500

***

Entry 12:
Ba2BrCl | PBE | optimized geometry

Results
ΔE_f (raw) ... -1.60 eV per atom
Energy relative to the lowest polymorph listed for this composition ... 65.9 meV per atom
Total magnetization ... 0.0 μB per cell
Crystal system ... trigonal
Calculated volume ... 215 Å³/cell

a b c (Å): 10.695 10.695 10.695
angles (deg): 26.54 26.54 26.54
Fractional positions:
Br: 0.513 0.513 0.513
Ba: 0.025 0.025 0.025
Cl: 0.731 0.731 0.731
Ba: 0.231 0.231 0.231

***

Entry 13:
Ba3BrCl | PBE | optimized geometry

Results
ΔE_f (raw) ... -0.85 eV per atom
Energy relative to the lowest polymorph listed for this composition ... 0.0 meV per atom
Total magnetization ... 3.1 μB per cell
Crystal system ... cubic
Calculated volume ... 235 Å³/cell

a b c (Å): 6.170 6.170 6.170
angles (deg): 90.00 90.00 90.00
Site moments in Bohr magnetons follow the coordinates.
Fractional positions:
Ba: 0.000 0.500 0.000  0.30
Br: 0.500 0.500 0.500  0.05
Cl: 0.000 0.000 0.000  0.01
Ba: 0.500 0.000 0.000  0.23
Ba: 0.000 0.000 0.500  0.34

***

Entry 14:
Ba2BrCl | PBE | optimized geometry

Results
ΔE_f (raw) ... -1.64 eV per atom
Energy relative to the lowest polymorph listed for this composition ... 27.2 meV per atom
Total magnetization ... 0.0 μB per cell
Crystal system ... trigonal
Calculated volume ... 142 Å³/cell

a b c (Å): 4.595 4.595 8.212
angles (deg): 73.71 73.71 59.99
Fractional positions:
Br: 0.750 0.750 0.750
Cl: 0.250 0.250 0.250
Ba: 0.508 0.508 0.476
Ba: 0.992 0.992 0.024

***

Entry 15:
Ba2BrCl | PBE | optimized geometry

Results
ΔE_f (raw) ... -1.55 eV per atom
Energy relative to the lowest polymorph listed for this composition ... 117.8 meV per atom
Total magnetization ... 0.9 μB per cell
Crystal system ... monoclinic
Calculated volume ... 171 Å³/cell

a b c (Å): 6.774 6.774 4.570
angles (deg): 67.36 67.36 95.24
Site moments in Bohr magnetons follow the coordinates.
Fractional positions:
Cl: 0.000 0.500 0.500  0.01
Br: 0.500 0.000 0.500  0.01
Ba: 0.500 0.500 0.000  0.12
Ba: 0.000 0.000 0.000  0.12

***

Entry 16:
Ba2BrCl | PBE | optimized geometry

Results
ΔE_f (raw) ... -1.45 eV per atom
Energy relative to the lowest polymorph listed for this composition ... 220.2 meV per atom
Total magnetization ... 1.4 μB per cell
Crystal system ... cubic
Calculated volume ... 131 Å³/cell

a b c (Å): 5.697 5.697 5.697
angles (deg): 60.00 60.00 60.00
Site moments in Bohr magnetons follow the coordinates.
Fractional positions:
Ba: 0.750 0.750 0.750  0.28
Cl: 0.000 0.000 0.000  0.00
Br: 0.500 0.500 0.500  0.00
Ba: 0.250 0.250 0.250  0.28

***

Entry 17:
BaBrCl3 | PBE | optimized geometry

Results
ΔE_f (raw) ... -1.45 eV per atom
Energy relative to the lowest polymorph listed for this composition ... 0.0 meV per atom
Total magnetization ... 0.0 μB per cell
Crystal system ... monoclinic
Calculated volume ... 715 Å³/cell

a b c (Å): 9.751 9.536 8.289
angles (deg): 90.00 68.00 90.00
Fractional positions:
Cl: 0.080 0.673 0.502
Cl: 0.580 0.827 0.002
Br: 0.411 0.539 0.804
Ba: 0.879 0.590 0.315
Ba: 0.379 0.910 0.815
Cl: 0.628 0.837 0.448
Ba: 0.621 0.090 0.185
Cl: 0.360 0.556 0.329
Cl: 0.872 0.337 0.052
Cl: 0.860 0.944 0.829
Br: 0.911 0.961 0.304
Cl: 0.920 0.327 0.498
Br: 0.089 0.039 0.696
Cl: 0.128 0.663 0.948
Cl: 0.640 0.444 0.671
Cl: 0.420 0.173 0.998
Cl: 0.140 0.056 0.171
Cl: 0.372 0.163 0.552
Br: 0.589 0.461 0.196
Ba: 0.121 0.410 0.685

***

Entry 18:
Ba3BrCl5 | PBE | optimized geometry

Results
ΔE_f (raw) ... -2.40 eV per atom
Total magnetization ... 0.0 μB per cell
Crystal system ... orthorhombic
Calculated volume ... 632 Å³/cell

a b c (Å): 5.118 8.927 14.436
angles (deg): 90.00 90.00 106.66
Fractional positions:
Ba: 0.622 0.243 0.447
Br: 0.120 0.241 0.250
Ba: 0.622 0.243 0.053
Cl: 0.547 0.094 0.862
Cl: 0.547 0.094 0.638
Cl: 0.801 0.603 0.425
Cl: 0.199 0.397 0.925
Ba: 0.378 0.757 0.947
Ba: 0.920 0.841 0.250
Cl: 0.000 0.000 0.000
Ba: 0.378 0.757 0.553
Cl: 0.453 0.906 0.138
Cl: 0.801 0.603 0.075
Cl: 0.000 0.000 0.500
Cl: 0.453 0.906 0.362
Br: 0.880 0.759 0.750
Ba: 0.080 0.159 0.750
Cl: 0.199 0.397 0.575

***

Entry 19:
Ba2BrCl | PBE | optimized geometry

Results
ΔE_f (raw) ... -0.86 eV per atom
Energy relative to the lowest polymorph listed for this composition ... 806.1 meV per atom
Total magnetization ... 1.7 μB per cell
Crystal system ... cubic
Calculated volume ... 141 Å³/cell

a b c (Å): 5.839 5.839 5.839
angles (deg): 60.00 60.00 60.00
Site moments in Bohr magnetons follow the coordinates.
Fractional positions:
Br: 0.500 0.500 0.500  -0.01
Ba: 0.000 0.000 0.000  0.37
Ba: 0.250 0.250 0.250  0.38
Cl: 0.750 0.750 0.750  0.00

***

Entry 20:
Ba2BrCl | PBE | optimized geometry

Results
ΔE_f (raw) ... -1.59 eV per atom
Energy relative to the lowest polymorph listed for this composition ... 76.2 meV per atom
Total magnetization ... 0.0 μB per cell
Crystal system ... orthorhombic
Calculated volume ... 190 Å³/cell

a b c (Å): 11.056 11.056 11.056
angles (deg): 157.92 158.07 31.32
Fractional positions:
Br: 0.536 0.536 0.000
Ba: 0.773 0.273 0.500
Ba: 0.969 0.969 0.000
Cl: 0.222 0.722 0.500

***

Entry 21:
Ba3Br5Cl | PBE | optimized geometry

Results
ΔE_f (raw) ... -2.27 eV per atom
Total magnetization ... 0.0 μB per cell
Crystal system ... monoclinic
Calculated volume ... 695 Å³/cell

a b c (Å): 7.695 9.486 10.975
angles (deg): 106.78 90.00 113.93
Fractional positions:
Br: 0.079 0.665 0.417
Br: 0.417 0.332 0.583
Ba: 0.329 0.676 0.169
Ba: 0.671 0.324 0.831
Br: 0.252 0.000 0.750
Br: 0.586 0.665 0.917
Ba: 0.000 0.000 0.500
Cl: 0.245 0.000 0.250
Ba: 0.653 0.324 0.331
Ba: 0.347 0.676 0.669
Br: 0.085 0.668 0.917
Br: 0.748 0.000 0.250
Br: 0.583 0.668 0.417
Br: 0.414 0.335 0.083
Br: 0.915 0.332 0.083
Cl: 0.755 0.000 0.750
Ba: 0.000 0.000 0.000
Br: 0.921 0.335 0.583